Here is SrMnIrO6 after structural relaxation from the Alexandria database. Energies are from PBE with a Hubbard U.

a b c (Å): 5.1432 5.1432 5.4602
angles (deg): 90.00 90.00 120.00
Closest atoms and distances in Å follow each position.
Space group P312 (No. 149)
Inequivalent atoms, fractional coordinates:
Sr: 0.0000 0.0000 0.0000 (multiplicity 1)  6 O 2.53
Mn: 0.6667 0.3333 0.5000 (multiplicity 1)  6 O 1.94
Ir: 0.3333 0.6667 0.5000 (multiplicity 1)  6 O 1.95
O: 0.3727 0.0017 0.3036 (multiplicity 6)  1 Mn 1.94, 1 Ir 1.95

Computed properties:
calculated total energy = -6.741 eV/atom
density of states at the Fermi level = 0.365 states/eV/atom